(1)
Fe2SeBr after structural relaxation. Source: Alexandria via LeMat-Bulk, functional PBE.

Summary:
total energy = -5.4947 eV/atom
magnetic moment = 6.7 μB/f.u.
space group = C2/m
Fermi-level density of states = 3.29 states/eV/cell
ΔE to the lowest computed polymorph = 177 meV per atom
ΔE_f (raw) = 0.03 eV per atom

abc: 4.376 4.376 7.086
angles: 119.54 119.54 45.82
Element x y z (fractional)
1 Fe 0.219 0.219 0.351
2 Fe 0.781 0.781 0.649
3 Se 0.000 0.000 0.500
4 Br 0.500 0.500 0.000

(2)
BaTl2Te after structural relaxation. Source: Alexandria via LeMat-Bulk, functional PBE.

Summary:
total energy = -2.9772 eV/atom
magnetic moment = 0.0 μB/f.u.
space group = F-43m
Fermi-level density of states = 4.38 states/eV/cell
ΔE to the lowest computed polymorph = 126 meV per atom
ΔE_f (raw) = -0.53 eV per atom

abc: 5.826 5.826 5.826
angles: 60.00 60.00 60.00
Element x y z (fractional)
1 Ba 0.000 0.000 0.000
2 Tl 0.250 0.250 0.250
3 Tl 0.500 0.500 0.500
4 Te 0.750 0.750 0.750

(3)
PaCoP2 after structural relaxation. Source: Alexandria via LeMat-Bulk, functional PBE.

Summary:
total energy = -6.9055 eV/atom
magnetic moment = 2.0 μB/f.u.
DFT formation energy = -0.05 eV per atom
space group = R-3m
Fermi-level density of states = 2.42 states/eV/cell

abc: 7.246 7.246 7.246
angles: 34.14 34.14 34.14
Element x y z (fractional)
1 Pa 0.000 0.000 0.000
2 Co 0.500 0.500 0.500
3 P 0.394 0.394 0.394
4 P 0.606 0.606 0.606